Material: LiAgIr
Method: DFT, GGA-PBEsol
State: optimized geometry

Structure (POSCAR):
```
LiAgIr
1.0
2.548 0.000 0.000
0.000 4.427 0.000
0.000 -2.214 3.834
Li Ir Ag
1 1 1
Cartesian
0.501 0.000 2.556
1.674 2.214 1.278
0.373 0.000 0.000
```

The density of states at the Fermi level is 0.32 states/eV/atom. As for the space group: P3m1, No. 156. For the formation energy, the calculation gives 0.1397 eV/atom. The density comes out at 11785 kg/m3.

Material: LiAg2IrS
Method: DFT, GGA-PBEsol
State: optimized geometry

Structure (POSCAR):
```
LiAg2IrS
1.0
-1.123 -3.961 -1.072
2.618 0.463 -4.452
4.262 -1.835 2.315
S Ag Ir Li
1 2 1 1
Cartesian
-0.562 -1.981 -0.536
2.131 -0.918 1.157
1.309 0.231 -2.226
0.000 0.000 0.000
2.878 -2.667 -1.605
```

The calculation puts the uncorrected formation energy at 0.31 eV per atom. The density of states at the Fermi level is 0.39 states/eV/atom. As for the space group: P4/mmm, No. 123. The density comes out at 6488 kg/m3.